A plane-wave DFT calculation with PBE was carried out for a relaxed TaFeTc2 crystal.

The structure in CIF format:
```
data_TaFeTc2
_space_group_name_H-M_alt 'P 1 2/m 1'
_space_group_IT_number 10
_space_group_name_Hall '-P 2y'
_cell_length_a 2.702
_cell_length_b 4.357
_cell_length_c 5.131
_cell_angle_alpha 90.00
_cell_angle_beta 98.98
_cell_angle_gamma 90.00
loop_
_atom_site_label
_atom_site_type_symbol
_atom_site_fract_x
_atom_site_fract_y
_atom_site_fract_z
_atom_site_occupancy
Ta1 Ta 0.000 0.000 0.000 1
Fe1 Fe 0.500 0.000 0.500 1
Tc1 Tc 0.245 0.500 0.739 1
```

Computed properties:
Density ... 12.04 g cm⁻³
Calculated formation energy ... 0.010 eV per atom
DOS(E_F) ... 3.21 states/eV/cell
Total energy ... -10.251 eV per atom